(1)
Here is a relaxed structure of La2PrThSe4 from the Alexandria database. Energies are from PBE-GGA.

Computed properties:
Formation energy without anion corrections (meV per atom): -1844
Calculated density (g/cm³): 7.3
Crystal system: monoclinic

Lattice parameters (Å, degrees): 7.402 4.263 7.408 90.00 109.42 90.00
Space group P2/m (No. 10)
Asymmetric unit:
La 0.000 0.000 0.000 [1 per cell]
La 0.000 0.500 0.500 [1 per cell]
Pr 0.500 0.000 0.500 [1 per cell]
Th 0.500 0.500 0.000 [1 per cell]
Se 0.254 0.500 0.249 [2 per cell]
Se 0.255 0.000 0.753 [2 per cell]

---

(2)
Here is a relaxed structure of La3Pr2ThSe6 from the Alexandria database. Energies are from PBE-GGA.

Computed properties:
Formation energy without anion corrections (meV per atom): -1869
Calculated density (g/cm³): 7.0
Crystal system: monoclinic

Lattice parameters (Å, degrees): 18.635 4.281 8.554 90.00 103.25 90.00
Space group C2/m (No. 12)
Asymmetric unit:
La 0.000 0.000 0.000 [2 per cell]
La 0.167 0.500 0.334 [4 per cell]
Pr 0.165 0.500 0.831 [4 per cell]
Th 0.000 0.000 0.500 [2 per cell]
Se 0.000 0.500 0.254 [4 per cell]
Se 0.165 0.000 0.584 [4 per cell]
Se 0.168 0.000 0.082 [4 per cell]

---

(3)
Here is a relaxed structure of LaPr2Tl3Se6 from the Alexandria database. Energies are from PBE-GGA.

Computed properties:
Formation energy without anion corrections (meV per atom): -1404
Calculated density (g/cm³): 6.5
Crystal system: monoclinic

Lattice parameters (Å, degrees): 7.589 13.143 8.133 90.00 108.12 90.00
Space group C2/m (No. 12)
Asymmetric unit:
La 0.000 0.000 0.000 [2 per cell]
Pr 0.000 0.333 0.000 [4 per cell]
Tl 0.000 0.167 0.500 [4 per cell]
Tl 0.000 0.500 0.500 [2 per cell]
Se 0.236 0.500 0.212 [4 per cell]
Se 0.238 0.168 0.212 [8 per cell]

---

Please write out number 3 again, unchanged.
Here is a relaxed structure of LaPr2Tl3Se6 from the Alexandria database. Energies are from PBE-GGA.

Computed properties:
Formation energy without anion corrections (meV per atom): -1404
Calculated density (g/cm³): 6.5
Crystal system: monoclinic

Lattice parameters (Å, degrees): 7.589 13.143 8.133 90.00 108.12 90.00
Space group C2/m (No. 12)
Asymmetric unit:
La 0.000 0.000 0.000 [2 per cell]
Pr 0.000 0.333 0.000 [4 per cell]
Tl 0.000 0.167 0.500 [4 per cell]
Tl 0.000 0.500 0.500 [2 per cell]
Se 0.236 0.500 0.212 [4 per cell]
Se 0.238 0.168 0.212 [8 per cell]

---

Question: Among the records above, which one has the highest formation energy without anion corrections?
Answer: LaPr2Tl3Se6

---

Question: The lowest calculated density belongs to which entry?
Answer: LaPr2Tl3Se6